1.
Compound: Cs2Zn2Te4Pb
Source: Alexandria via LeMat-Bulk
Functional: PBE
Structure: relaxed

The structure in POSCAR format:
```
Cs2Zn2Te4Pb
1.0
-0.875 3.803 2.414
-5.476 2.911 -6.572
-4.146 -6.599 4.531
Zn Cs Te Pb
2 2 4 1
Direct
0.671 0.972 0.342
0.329 0.028 0.658
0.131 0.546 0.262
0.869 0.454 0.738
0.797 0.843 0.594
0.525 0.762 0.050
0.475 0.238 0.950
0.203 0.157 0.406
0.000 0.000 0.000
```

Space-group type: No. 12
M_tot in μB/f.u.: 0.000
DFT total energy in eV per atom: -2.97
Crystal system: monoclinic
Uncorrected formation energy in meV per atom: -690

2.
Compound: BeFe4Co
Source: Alexandria via LeMat-Bulk
Functional: PBE
Structure: relaxed

The structure in POSCAR format:
```
BeFe4Co
1.0
2.839 -0.001 0.000
0.001 2.839 0.000
0.000 0.000 8.105
Fe Co Be
4 1 1
Direct
0.500 0.500 0.851
0.000 0.000 0.675
0.000 0.000 0.325
0.500 0.500 0.149
0.500 0.500 0.500
0.000 0.000 0.000
```

Space-group type: No. 123
M_tot in μB/f.u.: 11.271
DFT total energy in eV per atom: -7.49
D(E_F) in states/eV/f.u.: 4.80
Crystal system: tetragonal